No. 1
! MgCd (GGA-PBE, optimized geometry); values from VASP
&SYSTEM
  ibrav = 0, nat = 4, ntyp = 2
/
ATOMIC_SPECIES
Mg 24.30 Mg.upf
Cd 112.41 Cd.upf
ATOMIC_POSITIONS crystal
Mg 0.500 0.000 0.509
Cd 0.500 0.500 0.819
Mg 0.000 0.500 0.324
Cd 0.000 0.000 0.014
CELL_PARAMETERS angstrom
3.238 0.000 0.000
0.000 5.182 0.000
0.000 0.000 5.237
! Crystal system ... orthorhombic
! Space group ... Pmmn

---

No. 2
! Mg7Cd (GGA-PBE, optimized geometry); values from VASP
&SYSTEM
  ibrav = 0, nat = 8, ntyp = 2
/
ATOMIC_SPECIES
Mg 24.30 Mg.upf
Cd 112.41 Cd.upf
ATOMIC_POSITIONS crystal
Mg 0.500 0.000 0.000
Mg 0.000 0.500 0.500
Mg 0.500 0.000 0.500
Mg 0.500 0.500 0.000
Cd 0.000 0.000 0.000
Mg 0.000 0.000 0.500
Mg 0.500 0.500 0.500
Mg 0.000 0.500 0.000
CELL_PARAMETERS angstrom
6.353 0.000 0.000
3.177 5.502 0.000
3.177 1.834 5.188
! Crystal system ... cubic
! ΔE to the lowest computed polymorph ... 1.2 kJ/mol of atoms
! Space group ... Fm-3m

---

No. 3
! MgCd3 (GGA-PBE, optimized geometry); values from VASP
&SYSTEM
  ibrav = 0, nat = 4, ntyp = 2
/
ATOMIC_SPECIES
Cd 112.41 Cd.upf
Mg 24.30 Mg.upf
ATOMIC_POSITIONS crystal
Cd 0.253 0.247 0.995
Cd 0.747 0.751 0.003
Mg 0.667 0.003 0.669
Cd 0.167 0.500 0.667
CELL_PARAMETERS angstrom
-2.294 3.632 -4.208
-5.334 -1.653 -2.405
3.304 1.678 4.815
! Crystal system ... triclinic
! ΔE to the lowest computed polymorph ... 2.6 kJ/mol of atoms
! Space group ... P1

---

No. 4
! MgCd3 (GGA-PBE, optimized geometry); values from VASP
&SYSTEM
  ibrav = 0, nat = 4, ntyp = 2
/
ATOMIC_SPECIES
Mg 24.30 Mg.upf
Cd 112.41 Cd.upf
ATOMIC_POSITIONS crystal
Mg 0.500 0.500 0.000
Cd 0.000 0.000 0.000
Cd 0.500 0.000 0.500
Cd 0.000 0.500 0.500
CELL_PARAMETERS angstrom
-2.710 1.619 3.917
-2.238 -4.155 -1.743
2.079 -2.084 2.299
! Crystal system ... orthorhombic
! ΔE to the lowest computed polymorph ... 2.0 kJ/mol of atoms
! Space group ... Cmmm

---

No. 5
! MgCd (GGA-PBE, optimized geometry); values from VASP
&SYSTEM
  ibrav = 0, nat = 4, ntyp = 2
/
ATOMIC_SPECIES
Mg 24.30 Mg.upf
Cd 112.41 Cd.upf
ATOMIC_POSITIONS crystal
Mg 0.750 0.750 0.370
Cd 0.750 0.750 0.873
Mg 0.250 0.250 0.630
Cd 0.250 0.250 0.127
CELL_PARAMETERS angstrom
3.204 0.000 0.000
0.000 3.204 0.000
0.000 0.000 8.677
! Crystal system ... tetragonal
! Space group ... P4/nmm

---

No. 6
! MgCd (GGA-PBE, optimized geometry); values from VASP
&SYSTEM
  ibrav = 0, nat = 4, ntyp = 2
/
ATOMIC_SPECIES
Cd 112.41 Cd.upf
Mg 24.30 Mg.upf
ATOMIC_POSITIONS crystal
Cd 0.667 0.333 0.551
Cd 0.333 0.667 0.051
Mg 0.667 0.333 0.820
Mg 0.333 0.667 0.320
CELL_PARAMETERS angstrom
-0.393 3.067 -0.579
-1.890 -1.471 2.040
6.971 2.446 8.222
! Crystal system ... hexagonal
! Space group ... P6_3mc

---

No. 7
! MgCd (GGA-PBE, optimized geometry); values from VASP
&SYSTEM
  ibrav = 0, nat = 6, ntyp = 2
/
ATOMIC_SPECIES
Cd 112.41 Cd.upf
Mg 24.30 Mg.upf
ATOMIC_POSITIONS crystal
Cd 0.611 0.611 0.278
Mg 0.995 0.995 0.009
Mg 0.668 0.668 0.669
Cd 0.281 0.281 0.936
Cd 0.332 0.332 0.337
Mg 0.947 0.947 0.604
CELL_PARAMETERS angstrom
1.569 6.005 -0.010
-1.569 6.005 -0.010
0.000 1.885 6.992
! Crystal system ... monoclinic
! Space group ... Cm

---

No. 8
! MgCd6 (GGA-PBE, optimized geometry); values from VASP
&SYSTEM
  ibrav = 0, nat = 7, ntyp = 2
/
ATOMIC_SPECIES
Cd 112.41 Cd.upf
Mg 24.30 Mg.upf
ATOMIC_POSITIONS crystal
Cd 0.500 0.000 0.268
Cd 0.000 0.500 0.732
Cd 0.000 0.000 0.500
Cd 0.500 0.500 0.000
Cd 0.000 0.500 0.268
Cd 0.500 0.000 0.732
Mg 0.000 0.000 0.000
CELL_PARAMETERS angstrom
4.942 0.000 0.000
0.000 4.942 0.000
0.000 0.000 6.755
! Crystal system ... tetragonal
! ΔE to the lowest computed polymorph ... 0.0 kJ/mol of atoms
! Space group ... P4/mmm

---

No. 9
! MgCd7 (GGA-PBE, optimized geometry); values from VASP
&SYSTEM
  ibrav = 0, nat = 8, ntyp = 2
/
ATOMIC_SPECIES
Cd 112.41 Cd.upf
Mg 24.30 Mg.upf
ATOMIC_POSITIONS crystal
Cd 0.500 0.000 0.000
Mg 0.000 0.000 0.000
Cd 0.500 0.500 0.000
Cd 0.000 0.000 0.500
Cd 0.500 0.000 0.500
Cd 0.500 0.500 0.500
Cd 0.000 0.500 0.000
Cd 0.000 0.500 0.500
CELL_PARAMETERS angstrom
6.334 0.000 0.000
3.167 5.486 0.000
3.167 1.829 5.172
! Crystal system ... cubic
! Space group ... Fm-3m

---

No. 10
! Mg7Cd (GGA-PBE, optimized geometry); values from VASP
&SYSTEM
  ibrav = 0, nat = 8, ntyp = 2
/
ATOMIC_SPECIES
Mg 24.30 Mg.upf
Cd 112.41 Cd.upf
ATOMIC_POSITIONS crystal
Mg 0.749 0.749 0.498
Mg 0.500 0.500 0.000
Cd 0.000 0.000 0.000
Mg 0.877 0.377 0.754
Mg 0.251 0.251 0.502
Mg 0.623 0.123 0.246
Mg 0.377 0.877 0.754
Mg 0.123 0.623 0.246
CELL_PARAMETERS angstrom
4.309 0.000 -1.058
-0.260 4.302 -1.058
0.093 0.099 9.682
! Crystal system ... tetragonal
! ΔE to the lowest computed polymorph ... 0.9 kJ/mol of atoms
! Space group ... I4/mmm

---

No. 11
! Mg2Cd (GGA-PBE, optimized geometry); values from VASP
&SYSTEM
  ibrav = 0, nat = 6, ntyp = 2
/
ATOMIC_SPECIES
Mg 24.30 Mg.upf
Cd 112.41 Cd.upf
ATOMIC_POSITIONS crystal
Mg 0.500 0.500 0.500
Mg 0.667 0.333 0.000
Mg 0.000 0.667 0.333
Cd 0.835 0.835 0.835
Cd 0.165 0.165 0.165
Mg 0.333 0.000 0.667
CELL_PARAMETERS angstrom
5.918 -0.158 -0.107
3.454 4.808 -0.107
3.454 1.714 4.494
! Crystal system ... trigonal
! Space group ... R32

---

No. 12
! Mg4Cd (GGA-PBE, optimized geometry); values from VASP
&SYSTEM
  ibrav = 0, nat = 5, ntyp = 2
/
ATOMIC_SPECIES
Mg 24.30 Mg.upf
Cd 112.41 Cd.upf
ATOMIC_POSITIONS crystal
Mg 0.500 0.500 0.500
Mg 0.000 0.000 0.500
Mg 0.000 0.500 0.000
Cd 0.000 0.000 0.000
Mg 0.500 0.000 0.000
CELL_PARAMETERS angstrom
3.248 4.613 -0.498
-3.394 0.557 4.499
3.290 -4.561 0.670
! Crystal system ... cubic
! ΔE to the lowest computed polymorph ... 25.5 kJ/mol of atoms
! Space group ... Im-3m

---

Number 1: M_tot 0.0 μB/f.u., calculated formation energy -0.0739 eV/atom. Number 2: M_tot 0.0 μB/f.u., calculated formation energy -0.0211 eV/atom. Number 3: M_tot 0.0 μB/f.u., calculated formation energy -0.0434 eV/atom. Number 4: M_tot 0.0 μB/f.u., calculated formation energy -0.0506 eV/atom. Number 5: M_tot 0.0 μB/f.u., calculated formation energy -0.0425 eV/atom. Number 6: M_tot 0.0 μB/f.u., calculated formation energy 0.0482 eV/atom. Number 7: M_tot 0.0 μB/f.u., calculated formation energy -0.0855 eV/atom. Number 8: M_tot 0.0 μB/f.u., calculated formation energy -0.0048 eV/atom. Number 9: M_tot 0.0 μB/f.u., calculated formation energy -0.0175 eV/atom. Number 10: M_tot 0.0 μB/f.u., calculated formation energy -0.0246 eV/atom. Number 11: M_tot 0.0 μB/f.u., calculated formation energy -0.0606 eV/atom. Number 12: M_tot 0.0 μB/f.u., calculated formation energy 0.2181 eV/atom.